VASP calculation (PBE-GGA) on ThSn4Pd15 after structural relaxation.

Cell lengths 4.0878, 4.0878, 20.2849 Å; angles 90.00, 90.00, 90.00 degrees
Fractional positions:
Pd: 0.0000 0.5000 0.1054
Pd: 0.5000 0.0000 0.3032
Pd: 0.5000 0.0000 0.1054
Pd: 0.5000 0.5000 0.2047
Pd: 0.0000 0.5000 0.6968
Pd: 0.5000 0.5000 0.7953
Pd: 0.0000 0.5000 0.3032
Pd: 0.5000 0.0000 0.6968
Pd: 0.5000 0.0000 0.8946
Pd: 0.5000 0.5000 0.4014
Pd: 0.5000 0.0000 0.5000
Pd: 0.0000 0.5000 0.8946
Pd: 0.5000 0.5000 0.0000
Pd: 0.5000 0.5000 0.5986
Pd: 0.0000 0.5000 0.5000
Th: 0.0000 0.0000 0.0000
Sn: 0.0000 0.0000 0.7936
Sn: 0.0000 0.0000 0.4023
Sn: 0.0000 0.0000 0.5977
Sn: 0.0000 0.0000 0.2064

Calculated values
V = 16.95 Å³/atom
Formation energy = -0.593 eV/atom
DOS at the Fermi energy = 3.02 states/eV/cell

---

VASP calculation (PBE-GGA) on SrY2ReAu after structural relaxation.

Cell lengths 5.4915, 5.0779, 5.4915 Å; angles 90.00, 90.00, 90.00 degrees
Fractional positions:
Sr: 0.5000 0.5000 0.5000
Re: 0.0000 0.5000 0.0000
Y: 0.0000 0.0000 0.5000
Y: 0.5000 0.0000 0.0000
Au: 0.0000 0.0000 0.0000

Calculated values
V = 30.63 Å³/atom
Formation energy = 0.600 eV/atom
DOS at the Fermi energy = 3.84 states/eV/cell

---

VASP calculation (PBE-GGA) on AcBO3 after structural relaxation.

Cell lengths 3.7217, 3.7217, 3.7217 Å; angles 90.00, 90.00, 90.00 degrees
Fractional positions:
O: 0.5000 0.0000 0.5000
O: 0.0000 0.5000 0.5000
O: 0.5000 0.5000 0.0000
Ac: 0.0000 0.0000 0.0000
B: 0.5000 0.5000 0.5000

Calculated values
V = 10.31 Å³/atom
Uncorrected formation energy = -2.0581 eV/atom

---

VASP calculation (PBE-GGA) on LaCeNiPt after structural relaxation.

Cell lengths 5.9349, 5.9349, 4.3664 Å; angles 90.00, 90.00, 142.39 degrees
Fractional positions:
Ni: 0.4216 0.5784 0.0000
Pt: 0.5889 0.4111 0.5000
La: 0.8616 0.1384 0.5000
Ce: 0.1279 0.8721 0.0000

Calculated values
V = 23.47 Å³/atom
Formation energy = -0.715 eV/atom
DOS at the Fermi energy = 6.84 states/eV/cell
Polymorph energy (0 for the lowest one) = 0.000 eV per atom

---

VASP calculation (PBE-GGA) on AgPSeO2 after structural relaxation.

Cell lengths 3.9323, 3.9323, 5.4354 Å; angles 90.00, 90.00, 90.00 degrees
Fractional positions:
O: 0.5000 0.0000 0.0000
O: 0.0000 0.5000 0.0000
Se: 0.5000 0.5000 0.5000
P: 0.0000 0.0000 0.5000
Ag: 0.0000 0.0000 0.0000

Calculated values
V = 16.81 Å³/atom
Uncorrected formation energy = 0.7379 eV/atom
DOS at the Fermi energy = 3.86 states/eV/cell
Polymorph energy (0 for the lowest one) = 0.572 eV per atom

---

VASP calculation (PBE-GGA) on Zr2SnBi after structural relaxation.

Cell lengths 6.6095, 6.6095, 8.1528 Å; angles 66.09, 66.09, 90.00 degrees
Fractional positions:
Zr: 0.6130 0.1250 0.2500
Zr: 0.1370 0.6250 0.2500
Zr: 0.3750 0.3870 0.7500
Zr: 0.8750 0.8630 0.7500
Sn: 0.2500 0.7500 0.5000
Sn: 0.5000 0.5000 0.0000
Bi: 0.7500 0.2500 0.5000
Bi: 0.0000 0.0000 0.0000

Calculated values
V = 36.48 Å³/atom
Formation energy = 0.503 eV/atom
DOS at the Fermi energy = 8.20 states/eV/cell